1.
Entry from the Alexandria database: Li7Pm3Tl4 after structural relaxation (PBE).

Space group: No. 12
Calculated formation energy in meV/atom: -241
Spin magnetization in μB/atom: 0.000

Unit cell a=4.944 b=8.839 c=8.963 alpha=60.02 beta=73.99 gamma=73.76
Fractional coordinates of all 14 atoms:
Li 0.510 0.156 0.823
Li 0.657 0.192 0.495
Li 0.490 0.844 0.177
Li 0.343 0.808 0.505
Li 0.854 0.331 0.960
Li 0.000 0.000 0.000
Li 0.146 0.669 0.040
Pm 0.000 0.500 0.500
Pm 0.269 0.232 0.230
Pm 0.731 0.768 0.770
Tl 0.139 0.055 0.667
Tl 0.644 0.509 0.203
Tl 0.861 0.945 0.333
Tl 0.356 0.491 0.797

---

2.
Entry from the Alexandria database: LiPm6Tl5 after structural relaxation (PBE).

Space group: No. 12
Energy above the lowest structure with this stoichiometry in eV per atom: 0.1468
Calculated formation energy in meV/atom: -187
Spin magnetization in μB/atom: 0.000

Unit cell a=10.118 b=6.663 c=6.538 alpha=59.37 beta=84.40 gamma=78.96
Fractional coordinates of all 12 atoms:
Tl 0.000 0.695 0.610
Tl 0.000 0.305 0.390
Tl 0.500 0.500 0.000
Tl 0.500 0.149 0.702
Tl 0.500 0.851 0.298
Pm 0.740 0.438 0.656
Pm 0.260 0.906 0.656
Pm 0.232 0.268 0.000
Pm 0.768 0.732 0.000
Pm 0.740 0.094 0.344
Pm 0.260 0.562 0.344
Li 0.000 0.000 0.000

---

3.
Entry from the Alexandria database: Li4Pm3Tl4 after structural relaxation (PBE).

Space group: No. 2
Energy above the lowest structure with this stoichiometry in eV per atom: 0.0000
Calculated formation energy in meV/atom: -286
Spin magnetization in μB/atom: 0.000

Unit cell a=3.549 b=4.968 c=15.788 alpha=80.91 beta=83.54 gamma=89.99
Fractional coordinates of all 11 atoms:
Li 0.741 0.741 0.519
Li 0.594 0.094 0.814
Li 0.259 0.259 0.481
Li 0.406 0.906 0.186
Pm 0.000 0.000 0.000
Pm 0.856 0.356 0.287
Pm 0.144 0.644 0.713
Tl 0.685 0.186 0.630
Tl 0.315 0.814 0.370
Tl 0.449 0.448 0.102
Tl 0.551 0.552 0.898

---

4.
Entry from the Alexandria database: LiPm6Tl6 after structural relaxation (PBE).

Space group: No. 191
Calculated formation energy in meV/atom: -184
Spin magnetization in μB/atom: 0.041

Unit cell a=6.572 b=6.572 c=10.768 alpha=90.00 beta=90.00 gamma=120.00
Last column: magnetic moment on the atom in μB.
Fractional coordinates of all 13 atoms:
Pm 0.333 0.667 0.500  0.04
Pm 0.667 0.333 0.000  -0.04
Pm 0.000 0.000 0.319  0.11
Pm 0.333 0.667 0.000  -0.04
Pm 0.667 0.333 0.500  0.04
Pm 0.000 0.000 0.681  0.11
Tl 0.000 0.500 0.247  -0.01
Tl 0.500 0.500 0.247  -0.01
Tl 0.000 0.500 0.753  -0.01
Tl 0.500 0.000 0.247  -0.01
Tl 0.500 0.500 0.753  -0.01
Tl 0.500 0.000 0.753  -0.01
Li 0.000 0.000 0.000  0.00

---

5.
Entry from the Alexandria database: LiPm3Tl2 after structural relaxation (PBE).

Space group: No. 72
Energy above the lowest structure with this stoichiometry in eV per atom: 0.0332
Calculated formation energy in meV/atom: -233
Spin magnetization in μB/atom: 0.000

Unit cell a=6.650 b=6.554 c=9.385 alpha=110.44 beta=110.75 gamma=90.00
Fractional coordinates of all 12 atoms:
Tl 0.633 0.870 0.741
Tl 0.367 0.130 0.259
Tl 0.892 0.630 0.259
Tl 0.108 0.370 0.741
Li 0.000 0.750 0.000
Li 0.000 0.250 0.000
Pm 0.946 0.177 0.355
Pm 0.500 0.250 0.000
Pm 0.409 0.677 0.355
Pm 0.054 0.823 0.645
Pm 0.591 0.323 0.645
Pm 0.500 0.750 0.000

---

6.
Entry from the Alexandria database: LiPm2Tl9 after structural relaxation (PBE).

Space group: No. 123
Calculated formation energy in meV/atom: -203
Spin magnetization in μB/atom: 0.000

Unit cell a=4.803 b=4.803 c=14.294 alpha=90.00 beta=90.00 gamma=90.00
Fractional coordinates of all 12 atoms:
Tl 0.500 0.500 0.332
Tl 0.500 0.000 0.160
Tl 0.000 0.500 0.500
Tl 0.000 0.500 0.840
Tl 0.500 0.000 0.840
Tl 0.500 0.500 0.668
Tl 0.500 0.500 0.000
Tl 0.500 0.000 0.500
Tl 0.000 0.500 0.160
Li 0.000 0.000 0.000
Pm 0.000 0.000 0.667
Pm 0.000 0.000 0.333